[1]
! AlTl2Sb (meta-GGA SCAN, single point on PBEsol structure); values from VASP
&SYSTEM
  ibrav = 0, nat = 4, ntyp = 3
/
ATOMIC_SPECIES
Sb 121.76 Sb.upf
Tl 204.38 Tl.upf
Al 26.98 Al.upf
CELL_PARAMETERS angstrom
3.686 0.000 0.000
0.000 3.686 0.000
0.000 0.000 7.657
ATOMIC_POSITIONS crystal
Sb 0.500 0.500 0.701
Tl 0.000 0.000 0.987
Tl 0.500 0.500 0.281
Al 0.000 0.000 0.531
! raw formation energy = 102 meV/atom
! polymorph energy (0 for the lowest one) = 0.000 eV per atom

[2]
! La3NiPd (meta-GGA SCAN, single point on PBEsol structure); values from VASP
&SYSTEM
  ibrav = 0, nat = 5, ntyp = 3
/
ATOMIC_SPECIES
Ni 58.69 Ni.upf
Pd 106.42 Pd.upf
La 138.91 La.upf
CELL_PARAMETERS angstrom
-4.364 -2.879 0.373
2.199 -3.719 -2.968
1.894 -2.315 4.304
ATOMIC_POSITIONS crystal
Ni 0.000 0.000 0.000
Pd 0.500 0.500 0.500
La 0.000 0.500 0.000
La 0.000 0.000 0.500
La 0.500 0.000 0.000
! energy of formation = -88 meV per atom

[3]
! Pr3S3N (meta-GGA SCAN, single point on PBEsol structure); values from VASP
&SYSTEM
  ibrav = 0, nat = 28, ntyp = 3
/
ATOMIC_SPECIES
Pr 140.91 Pr.upf
S 32.06 S.upf
N 14.01 N.upf
CELL_PARAMETERS angstrom
4.063 0.000 0.000
0.000 11.968 0.000
0.000 0.000 12.953
ATOMIC_POSITIONS crystal
Pr 0.750 0.404 0.124
Pr 0.750 0.466 0.651
Pr 0.250 0.534 0.349
Pr 0.750 0.769 0.130
Pr 0.750 0.904 0.376
Pr 0.250 0.731 0.630
Pr 0.750 0.966 0.849
Pr 0.250 0.034 0.151
Pr 0.250 0.096 0.624
Pr 0.750 0.269 0.370
Pr 0.250 0.231 0.870
Pr 0.250 0.596 0.876
S 0.750 0.647 0.497
S 0.250 0.853 0.997
S 0.750 0.147 0.003
S 0.250 0.764 0.296
S 0.250 0.073 0.392
S 0.250 0.353 0.503
S 0.250 0.573 0.108
S 0.750 0.236 0.704
S 0.250 0.264 0.204
S 0.750 0.736 0.796
S 0.750 0.927 0.608
S 0.750 0.427 0.892
N 0.750 0.446 0.298
N 0.750 0.946 0.202
N 0.250 0.554 0.702
N 0.250 0.054 0.798
! raw formation energy = -2204 meV/atom

[4]
! Sr2AlIn (meta-GGA SCAN, single point on PBEsol structure); values from VASP
&SYSTEM
  ibrav = 0, nat = 4, ntyp = 3
/
ATOMIC_SPECIES
Sr 87.62 Sr.upf
Al 26.98 Al.upf
In 114.82 In.upf
CELL_PARAMETERS angstrom
-3.139 -1.969 -2.112
-1.232 -2.324 3.997
-2.406 5.698 2.570
ATOMIC_POSITIONS crystal
Sr 0.102 0.000 0.203
Sr 0.401 0.500 0.802
Al 0.816 0.000 0.633
In 0.687 0.500 0.374
! energy of formation = -367 meV per atom
! polymorph energy (0 for the lowest one) = 0.000 eV per atom

[5]
! TiHgSb2I (meta-GGA SCAN, single point on PBEsol structure); values from VASP
&SYSTEM
  ibrav = 0, nat = 5, ntyp = 4
/
ATOMIC_SPECIES
I 126.90 I.upf
Sb 121.76 Sb.upf
Hg 200.59 Hg.upf
Ti 47.87 Ti.upf
CELL_PARAMETERS angstrom
-4.255 3.006 -0.585
-2.647 -3.107 3.290
1.594 3.070 4.182
ATOMIC_POSITIONS crystal
I 0.000 0.000 0.500
Sb 0.000 0.500 0.000
Sb 0.500 0.000 0.000
Hg 0.500 0.500 0.500
Ti 0.000 0.000 0.000
! raw formation energy = 95 meV/atom

[6]
! Zr2AlAu (meta-GGA SCAN, single point on PBEsol structure); values from VASP
&SYSTEM
  ibrav = 0, nat = 4, ntyp = 3
/
ATOMIC_SPECIES
Au 196.97 Au.upf
Al 26.98 Al.upf
Zr 91.22 Zr.upf
CELL_PARAMETERS angstrom
-1.365 -1.442 2.270
4.342 -1.146 1.882
-0.037 4.338 2.728
ATOMIC_POSITIONS crystal
Au 0.375 0.500 0.791
Al 0.375 0.000 0.444
Zr 0.876 0.000 0.947
Zr 0.874 0.500 0.319
! energy of formation = -569 meV per atom

[7]
! AgWC2 (meta-GGA SCAN, single point on PBEsol structure); values from VASP
&SYSTEM
  ibrav = 0, nat = 8, ntyp = 3
/
ATOMIC_SPECIES
C 12.01 C.upf
Ag 107.87 Ag.upf
W 183.84 W.upf
CELL_PARAMETERS angstrom
4.883 0.000 0.000
0.000 4.883 0.000
-2.442 -2.442 4.644
ATOMIC_POSITIONS crystal
C 0.919 0.375 0.250
C 0.331 0.875 0.250
C 0.625 0.669 0.750
C 0.125 0.081 0.750
Ag 0.750 0.250 0.500
Ag 0.500 0.500 0.000
W 0.250 0.750 0.500
W 0.000 0.000 0.000
! energy of formation = 996 meV per atom

[8]
! YSc2Tl2 (meta-GGA SCAN, single point on PBEsol structure); values from VASP
&SYSTEM
  ibrav = 0, nat = 10, ntyp = 3
/
ATOMIC_SPECIES
Y 88.91 Y.upf
Sc 44.96 Sc.upf
Tl 204.38 Tl.upf
CELL_PARAMETERS angstrom
3.421 0.000 0.000
0.000 8.477 0.000
0.000 0.000 8.477
ATOMIC_POSITIONS crystal
Y 0.000 0.000 0.000
Y 0.000 0.500 0.500
Sc 0.500 0.140 0.640
Sc 0.500 0.640 0.860
Sc 0.500 0.860 0.360
Sc 0.500 0.360 0.140
Tl 0.000 0.338 0.838
Tl 0.000 0.838 0.662
Tl 0.000 0.662 0.162
Tl 0.000 0.162 0.338
! energy of formation = -477 meV per atom

no.,magnetization (μB per formula unit)
1,0.00
2,0.00
3,0.00
4,0.00
5,0.00
6,0.00
7,0.00
8,0.00